Here is a geometry-optimized CsPuCoF6 structure from the Alexandria database. Energies are from PBE with a Hubbard U.

Output
- magnetization (μB per formula unit) = 8.00
- VASP energy (Ry per atom) = -0.4731

a b c (Å): 7.977 7.636 7.614
angles (deg): 120.09 121.59 90.00
Fractional positions:
F  0.553  0.855  0.732
F  0.821  0.145  0.268
F  0.447  0.623  0.268
Co  0.500  0.000  0.000
Pu  0.000  0.000  0.500
F  0.862  0.112  0.724
F  0.138  0.888  0.276
F  0.553  0.377  0.732
F  0.418  0.168  0.836
F  0.821  0.623  0.268
Co  0.500  0.500  0.000
F  0.179  0.855  0.732
Cs  0.159  0.409  0.317
F  0.447  0.145  0.268
F  0.582  0.832  0.164
F  0.179  0.377  0.732
Pu  0.500  0.000  0.500
Cs  0.841  0.591  0.683